A plane-wave DFT calculation with PBE-GGA was carried out for crystalline Mo2PdRhBr at its relaxed geometry.

```
Mo2PdRhBr
1.0
4.7562 0.0000 0.0000
0.0000 5.0000 0.0000
0.0000 0.0000 4.7562
Rh Mo Br Pd
1 2 1 1
direct
0.0000 0.0000 0.0000
0.5000 0.0000 0.0000
0.0000 0.0000 0.5000
0.5000 0.5000 0.5000
0.0000 0.5000 0.0000
```

Calculated values
Fermi-level density of states (states/eV/f.u.): 7.5
Space group: P4/mmm (123)
Calculated volume (Å³ per cell): 113.1
Uncorrected formation energy (eV/atom): 1.496

A plane-wave DFT calculation with PBE-GGA was carried out for crystalline Pm2CuSe at its relaxed geometry.

```
Pm2CuSe
1.0
4.0702 0.0000 0.0000
2.0351 3.5249 0.0000
2.0351 1.1750 7.3531
Cu Pm Se
1 2 1
direct
0.6674 0.6674 0.9978
0.2548 0.2548 0.2357
0.0787 0.0787 0.7640
0.4992 0.4992 0.5025
```

Calculated values
Fermi-level density of states (states/eV/f.u.): 3.8
Space group: R3m (160)
Calculated volume (Å³ per cell): 105.5
Uncorrected formation energy (eV/atom): -0.859
Relative energy among the computed polymorphs (meV per atom): 138

A plane-wave DFT calculation with PBE-GGA was carried out for crystalline Zr8CN2 at its relaxed geometry.

```
Zr8CN2
1.0
-3.5731 -2.0047 2.7854
2.6475 -5.8804 -0.6920
4.1539 -0.7649 4.9221
Zr N C
8 2 1
direct
0.7598 0.8949 0.3148
0.2596 0.1772 0.1772
0.2402 0.6852 0.1051
0.2402 0.1051 0.6852
0.7404 0.8228 0.8228
0.2481 0.6072 0.6072
0.7519 0.3928 0.3928
0.7598 0.3148 0.8949
0.7450 0.6099 0.6099
0.2550 0.3901 0.3901
0.0000 0.0000 0.0000
```

Calculated values
Fermi-level density of states (states/eV/f.u.): 6.8
Space group: C2/m (12)
Calculated volume (Å³ per cell): 199.6
Uncorrected formation energy (eV/atom): -0.758

A plane-wave DFT calculation with PBE-GGA was carried out for crystalline La2SeF at its relaxed geometry.

```
La2SeF
1.0
0.0000 3.5783 3.5783
3.5783 0.0000 3.5783
3.5783 3.5783 0.0000
La Se F
2 1 1
direct
0.7500 0.7500 0.7500
0.2500 0.2500 0.2500
0.5000 0.5000 0.5000
0.0000 0.0000 0.0000
```

Calculated values
Fermi-level density of states (states/eV/f.u.): 4.0
Space group: Fm-3m (225)
Calculated volume (Å³ per cell): 91.6
Uncorrected formation energy (eV/atom): -1.847
Relative energy among the computed polymorphs (meV per atom): 310

A plane-wave DFT calculation with PBE-GGA was carried out for crystalline Pu2Zr6Sc at its relaxed geometry.

```
Pu2Zr6Sc
1.0
7.7961 0.4167 2.1536
2.5842 7.4591 1.8879
1.2492 1.2522 7.9216
Zr Pu Sc
12 4 2
direct
0.0781 0.0849 0.5849
0.9219 0.9151 0.4151
0.8273 0.5077 0.6659
0.6727 0.9923 0.8341
0.6727 0.3341 0.4923
0.8273 0.1659 0.0077
0.3273 0.6659 0.5077
0.1727 0.8341 0.9923
0.4219 0.4151 0.9151
0.5781 0.5849 0.0849
0.1727 0.4923 0.3341
0.3273 0.0077 0.1659
0.5000 0.1640 0.3360
0.0000 0.6640 0.8360
0.5000 0.8360 0.6640
0.0000 0.3360 0.1640
0.7500 0.7500 0.2500
0.2500 0.2500 0.7500
```

Calculated values
Fermi-level density of states (states/eV/f.u.): 15.2
Space group: C2/m (12)
Calculated volume (Å³ per cell): 421.6
Formation enthalpy at 0 K (eV per formula unit): 0.53

A plane-wave DFT calculation with PBE-GGA was carried out for crystalline Ho6TmTh3 at its relaxed geometry.

```
Ho6TmTh3
1.0
8.6527 0.0000 4.5917
3.1080 8.0753 4.5917
2.1447 1.4726 6.4070
Th Ho Tm
3 6 1
direct
0.0990 0.0990 0.7030
0.6009 0.6009 0.1973
0.3500 0.3500 0.9501
0.9303 0.5996 0.2046
0.5996 0.2654 0.2046
0.1004 0.4347 0.6952
0.4347 0.7697 0.6952
0.2654 0.9303 0.2046
0.7697 0.1004 0.6952
0.8500 0.8500 0.4501
```

Calculated values
Fermi-level density of states (states/eV/f.u.): 19.1
Space group: R-3 (148)
Calculated volume (Å³ per cell): 330.7
Formation enthalpy at 0 K (eV per formula unit): 3.55
Relative energy among the computed polymorphs (meV per atom): 273

A plane-wave DFT calculation with PBE-GGA was carried out for crystalline RbAgBrF2 at its relaxed geometry.

```
RbAgBrF2
1.0
-1.2167 -3.7307 2.4343
4.0823 -1.9438 -0.9386
2.0222 2.1601 4.3213
Rb Br F Ag
1 1 2 1
direct
0.5000 0.5000 0.5000
0.0000 0.0000 0.5000
0.5000 0.0000 0.0000
0.0000 0.5000 0.0000
0.0000 0.0000 0.0000
```

Calculated values
Fermi-level density of states (states/eV/f.u.): 1.6
Space group: P4/mmm (123)
Calculated volume (Å³ per cell): 111.7
Uncorrected formation energy (eV/atom): -1.442
Relative energy among the computed polymorphs (meV per atom): 0

A plane-wave DFT calculation with PBE-GGA was carried out for crystalline Nd4PtSeCl2 at its relaxed geometry.

```
Nd4PtSeCl2
1.0
4.1377 0.0000 0.0000
0.0000 7.2526 -0.1354
0.0000 2.5705 7.0828
Nd Cl Pt Se
4 2 1 1
direct
0.0000 0.2738 0.2267
0.0000 0.7262 0.7733
0.5000 0.7357 0.2510
0.5000 0.2643 0.7490
0.5000 0.0000 0.5000
0.0000 0.0000 0.0000
0.5000 0.5000 0.0000
0.0000 0.5000 0.5000
```

Calculated values
Fermi-level density of states (states/eV/f.u.): 3.7
Space group: P2/m (10)
Calculated volume (Å³ per cell): 214.0
Uncorrected formation energy (eV/atom): -1.460

| no. | total DFT energy (no corrections) (eV per atom) |
| --- | --- |
| 1 | -5.680 |
| 2 | -5.129 |
| 3 | -9.327 |
| 4 | -5.649 |
| 5 | -9.529 |
| 6 | -5.065 |
| 7 | -3.289 |
| 8 | -5.496 |